1.
This record from the Alexandria database describes an optimized crystal structure of InAg2Se. The functional is PBEsol.

Unit cell a=3.070 b=3.070 c=8.159 alpha=90.00 beta=90.00 gamma=90.00
Space group P4/mmm (No. 123)
Asymmetric unit:
In (0.000, 0.000, 0.000) [1 per cell]
Ag (0.500, 0.500, 0.255) [2 per cell]
Se (0.000, 0.000, 0.500) [1 per cell]

Raw formation energy ... 90 meV/atom



2.
This record from the Alexandria database describes an optimized crystal structure of AlFe2W2. The functional is PBEsol.

Unit cell a=4.009 b=4.009 c=9.297 alpha=90.00 beta=90.00 gamma=90.00
Space group I4/mmm (No. 139)
Asymmetric unit:
Al (0.000, 0.000, 0.000) [2 per cell]
Fe (0.000, 0.000, 0.387) [4 per cell]
W (0.000, 0.500, 0.250) [4 per cell]

Energy of formation ... 0.337 eV/atom



no.,DOS(E_F) (states/eV/atom),spin magnetization (μB per atom),theoretical density (Mg/m³)
1,0.298,0.000,8.84
2,0.650,0.000,11.25